(P)
First-principles (PBE) data for Nd3Sn5 after structural relaxation, as listed in Alexandria via LeMat-Bulk.

Cell lengths 10.739, 10.739, 10.739 Å; angles 154.75, 154.75, 36.01 degrees
Element x y z (fractional)
Nd1 0.000 0.000 0.000
Nd2 0.641 0.141 0.500
Nd3 0.859 0.359 0.500
Sn1 0.122 0.622 0.500
Sn2 0.252 0.252 0.000
Sn3 0.378 0.878 0.500
Sn4 0.500 0.500 0.000
Sn5 0.748 0.748 0.000

(Q)
First-principles (PBE) data for Nd3Sn5 after structural relaxation, as listed in Alexandria via LeMat-Bulk.

Cell lengths 13.028, 10.606, 6.513 Å; angles 90.00, 90.00, 90.00 degrees
Element x y z (fractional)
Nd1 0.057 0.250 0.130
Nd2 0.151 0.505 0.625
Nd3 0.151 0.995 0.625
Nd4 0.349 0.005 0.125
Nd5 0.349 0.495 0.125
Nd6 0.443 0.750 0.630
Nd7 0.557 0.250 0.370
Nd8 0.651 0.505 0.875
Nd9 0.651 0.995 0.875
Nd10 0.849 0.005 0.375
Nd11 0.849 0.495 0.375
Nd12 0.943 0.750 0.870
Sn1 0.001 0.750 0.396
Sn2 0.091 0.548 0.128
Sn3 0.091 0.952 0.128
Sn4 0.229 0.750 0.890
Sn5 0.244 0.750 0.354
Sn6 0.256 0.250 0.854
Sn7 0.271 0.250 0.390
Sn8 0.409 0.048 0.628
Sn9 0.409 0.452 0.628
Sn10 0.499 0.250 0.896
Sn11 0.501 0.750 0.104
Sn12 0.591 0.548 0.372
Sn13 0.591 0.952 0.372
Sn14 0.729 0.750 0.610
Sn15 0.744 0.750 0.146
Sn16 0.756 0.250 0.646
Sn17 0.771 0.250 0.110
Sn18 0.909 0.048 0.872
Sn19 0.909 0.452 0.872
Sn20 0.999 0.250 0.604

Ranked by calculated energy, most stable first: (Q), (P).

(P)
First-principles (PBE) data for Nd5Sn2 after structural relaxation, as listed in Alexandria via LeMat-Bulk.

Cell lengths 20.672, 20.672, 4.670 Å; angles 90.00, 90.00, 166.85 degrees
Element x y z (fractional)
Nd1 0.034 0.966 0.750
Nd2 0.175 0.825 0.250
Nd3 0.250 0.750 0.750
Nd4 0.388 0.612 0.250
Nd5 0.460 0.540 0.750
Nd6 0.540 0.460 0.250
Nd7 0.612 0.388 0.750
Nd8 0.750 0.250 0.250
Nd9 0.825 0.175 0.750
Nd10 0.966 0.034 0.250
Sn1 0.096 0.904 0.250
Sn2 0.309 0.691 0.250
Sn3 0.691 0.309 0.750
Sn4 0.904 0.096 0.750

(Q)
First-principles (PBE) data for Nd5Sn2 after structural relaxation, as listed in Alexandria via LeMat-Bulk.

Cell lengths 8.765, 8.765, 9.005 Å; angles 96.04, 96.04, 40.94 degrees
Element x y z (fractional)
Nd1 0.124 0.321 0.320
Nd2 0.212 0.570 0.060
Nd3 0.213 0.787 0.750
Nd4 0.321 0.124 0.820
Nd5 0.430 0.788 0.440
Nd6 0.570 0.212 0.560
Nd7 0.679 0.876 0.180
Nd8 0.787 0.213 0.250
Nd9 0.788 0.430 0.940
Nd10 0.876 0.679 0.680
Sn1 0.098 0.713 0.411
Sn2 0.287 0.902 0.089
Sn3 0.713 0.098 0.911
Sn4 0.902 0.287 0.589

Ranked by calculated energy, most stable first: (P), (Q).

(P)
First-principles (PBE) data for NdSn5 after structural relaxation, as listed in Alexandria via LeMat-Bulk.

Cell lengths 8.014, 8.014, 4.615 Å; angles 90.00, 90.00, 146.07 degrees
Element x y z (fractional)
Nd1 0.000 0.000 0.000
Sn1 0.171 0.829 0.500
Sn2 0.340 0.660 0.000
Sn3 0.500 0.500 0.500
Sn4 0.660 0.340 0.000
Sn5 0.829 0.171 0.500

(Q)
First-principles (PBE) data for NdSn5 after structural relaxation, as listed in Alexandria via LeMat-Bulk.

Cell lengths 6.801, 6.801, 6.801 Å; angles 140.61, 120.25, 73.95 degrees
Element x y z (fractional)
Nd1 0.000 0.000 0.000
Sn1 0.116 0.338 0.778
Sn2 0.440 0.662 0.778
Sn3 0.500 0.000 0.500
Sn4 0.560 0.338 0.222
Sn5 0.884 0.662 0.222

Ranked by calculated energy, most stable first: (Q), (P).